Entry from the Alexandria database: crystalline MnPPdCl2 at its relaxed geometry (PBEsol).

abc: 4.672 4.672 4.802
angles: 90.00 90.00 90.00
Sites, in units of the cell vectors:
Mn 0.000 0.000 0.000
P 0.500 0.500 0.000
Pd 0.500 0.500 0.500
Cl 0.000 0.500 0.500
Cl 0.500 0.000 0.500

Values from the calculation:
Energy   -23.62 eV per formula unit
DOS at the Fermi energy   1.660 states/eV/f.u.